Record 1
KBi2Te2 | the Alexandria database | PBE-GGA | relaxed; symmetry = No. 139; uncorrected formation energy = -1.52 eV/f.u.; relative energy among the computed polymorphs = 0 meV/atom
1.0
-3.093 3.093 5.089
3.093 -3.093 5.089
3.093 3.093 -5.089
K Bi Te
1 2 2
direct
0.000 0.000 0.000 K
0.346 0.346 0.000 Bi
0.654 0.654 0.000 Bi
0.250 0.750 0.500 Te
0.750 0.250 0.500 Te



Record 2
Ba2HgAuO4 | the Alexandria database | PBE-GGA | relaxed; symmetry = No. 119; uncorrected formation energy = -10.15 eV/f.u.
1.0
-3.248 3.248 3.579
3.248 -3.248 3.579
3.248 3.248 -3.579
Ba Hg Au O
2 1 1 4
direct
0.000 0.000 0.000 Ba
0.750 0.250 0.500 Ba
0.250 0.750 0.500 Hg
0.500 0.500 0.000 Au
0.279 0.279 0.558 O
0.279 0.721 0.000 O
0.721 0.279 0.000 O
0.721 0.721 0.442 O



Record 3
La2TbPm2Nd2 | the Alexandria database | PBE-GGA | relaxed; formation energy = 0.020 eV per atom; symmetry = No. 12
1.0
5.819 -2.605 0.000
5.819 2.605 0.000
-1.170 0.000 8.128
La Tb Pm Nd
2 1 2 2
direct
0.143 0.143 0.426 La
0.857 0.857 0.574 La
0.000 0.000 0.000 Tb
0.285 0.285 0.861 Pm
0.715 0.715 0.139 Pm
0.430 0.430 0.282 Nd
0.570 0.570 0.718 Nd



Record 4
LiY3Nb | the Alexandria database | PBE-GGA | relaxed; formation energy = 0.902 eV per atom; symmetry = No. 221; relative energy among the computed polymorphs = 352 meV/atom
1.0
5.181 0.000 0.000
0.000 5.181 0.000
0.000 0.000 5.181
Li Y Nb
1 3 1
direct
0.000 0.000 0.000 Li
0.000 0.000 0.500 Y
0.000 0.500 0.000 Y
0.500 0.000 0.000 Y
0.500 0.500 0.500 Nb



Record 5
Li2HfPd3 | the Alexandria database | PBE-GGA | relaxed; formation energy = -0.587 eV per atom; symmetry = No. 164
1.0
4.445 0.000 0.000
-2.223 3.850 0.000
0.000 0.000 10.823
Li Hf Pd
4 2 6
direct
0.000 0.000 0.000 Li
0.000 0.000 0.500 Li
0.333 0.667 0.157 Li
0.667 0.333 0.843 Li
0.333 0.667 0.673 Hf
0.667 0.333 0.327 Hf
0.000 0.000 0.242 Pd
0.000 0.000 0.758 Pd
0.333 0.667 0.415 Pd
0.333 0.667 0.918 Pd
0.667 0.333 0.082 Pd
0.667 0.333 0.585 Pd



Record 6
Pr5Er3 | the Alexandria database | PBE-GGA | relaxed; formation energy = 0.018 eV per atom; symmetry = No. 38; relative energy among the computed polymorphs = 0 meV/atom
1.0
10.268 0.000 0.000
0.000 5.144 5.135
0.000 -5.144 5.135
Pr Er
10 6
direct
0.000 0.000 0.000 Pr
0.000 0.506 0.999 Pr
0.000 0.999 0.506 Pr
0.252 0.253 0.253 Pr
0.254 0.253 0.753 Pr
0.254 0.753 0.253 Pr
0.500 0.505 0.505 Pr
0.746 0.253 0.753 Pr
0.746 0.753 0.253 Pr
0.748 0.253 0.253 Pr
0.000 0.506 0.506 Er
0.254 0.753 0.753 Er
0.500 0.000 0.000 Er
0.500 0.001 0.507 Er
0.500 0.507 0.001 Er
0.746 0.753 0.753 Er



Record 7
LaSbOs2 | the Alexandria database | PBE-GGA | relaxed; symmetry = No. 119; uncorrected formation energy = 1.87 eV/f.u.
1.0
-2.043 2.043 4.785
2.043 -2.043 4.785
2.043 2.043 -4.785
La Sb Os
1 1 2
direct
0.000 0.000 0.000 La
0.750 0.250 0.500 Sb
0.250 0.750 0.500 Os
0.500 0.500 0.000 Os



Record 8
Re3CI | the Alexandria database | PBE-GGA | relaxed; symmetry = No. 221; uncorrected formation energy = 21.18 eV/f.u.; relative energy among the computed polymorphs = 3034 meV/atom
1.0
4.822 0.000 0.000
0.000 4.822 0.000
0.000 0.000 4.822
Re C I
3 1 1
direct
0.000 0.000 0.500 Re
0.000 0.500 0.000 Re
0.500 0.000 0.000 Re
0.500 0.500 0.500 C
0.000 0.000 0.000 I



Total DFT energy (no corrections) list, top to bottom, in eV/atom: -3.3331 -4.6759 -4.7689 -5.3729 -5.4803 -4.6807 -7.4098 -5.3875
Total magnetic moment list, top to bottom, in μB/f.u.: 0.00 0.00 0.00 1.89 0.00 0.00 0.00 1.86
Density list, top to bottom, in g/cm³: 6.07 8.09 6.84 4.38 9.17 7.39 13.33 10.33